The following is a PBE calculation of an optimized crystal structure of K3Hg5Sb2, from Alexandria.

Output
Its uncorrected energy is -1.54 eV per atom. The value obtained for the formation energy from raw total energies is -0.23 eV/atom. The density of states at the Fermi level is 0.305 states/eV/atom. Its total magnetization is 0.0 μB per formula unit. The volume comes out at 34.770 Å³ per atom. The density is 6.51 Mg/m³.

POSCAR file:
```
K3Hg5Sb2
1.0
-5.949 8.049 3.631
5.949 -8.049 3.631
5.949 8.049 -3.631
K Hg Sb
6 10 4
direct
0.140 0.716 0.856 K
0.250 0.250 0.000 K
0.360 0.216 0.577 K
0.640 0.784 0.423 K
0.750 0.750 0.000 K
0.860 0.284 0.144 K
0.028 0.250 0.778 Hg
0.142 0.407 0.550 Hg
0.250 0.750 0.500 Hg
0.358 0.907 0.265 Hg
0.472 0.250 0.222 Hg
0.528 0.750 0.778 Hg
0.642 0.093 0.735 Hg
0.750 0.250 0.500 Hg
0.858 0.593 0.450 Hg
0.972 0.750 0.222 Hg
0.142 0.160 0.302 Sb
0.358 0.660 0.018 Sb
0.642 0.340 0.982 Sb
0.858 0.840 0.698 Sb
```

The following is a PBE calculation of an optimized crystal structure of KHgSb4, from Alexandria.

Output
The distance to the lowest polymorph of the same formula is 0 meV/atom. Its uncorrected energy is -3.10 eV per atom. The value obtained for the formation energy from raw total energies is -0.12 eV/atom. The density of states at the Fermi level is 0.219 states/eV/atom. Its total magnetization is 0.0 μB per formula unit. The volume comes out at 32.355 Å³ per atom. The density is 6.22 Mg/m³.

POSCAR file:
```
KHgSb4
1.0
6.697 -2.494 0.000
6.697 2.494 0.000
-3.351 0.000 5.811
K Hg Sb
1 1 4
direct
0.000 0.000 0.000 K
0.000 0.000 0.500 Hg
0.321 0.321 0.106 Sb
0.321 0.321 0.535 Sb
0.679 0.679 0.465 Sb
0.679 0.679 0.894 Sb
```

The following is a PBE calculation of an optimized crystal structure of K2Hg3Sb, from Alexandria.

Output
Its uncorrected energy is -1.51 eV per atom. The value obtained for the formation energy from raw total energies is -0.31 eV/atom. The density of states at the Fermi level is 0.101 states/eV/atom. Its total magnetization is 0.0 μB per formula unit. The volume comes out at 33.872 Å³ per atom. The density is 6.55 Mg/m³.

POSCAR file:
```
K2Hg3Sb
1.0
0.000 5.180 8.990
4.364 0.000 8.990
4.364 5.180 0.000
K Hg Sb
4 6 2
direct
0.238 0.762 0.762 K
0.250 0.250 0.250 K
0.750 0.750 0.750 K
0.762 0.238 0.238 K
0.168 0.663 0.337 Hg
0.169 0.169 0.831 Hg
0.337 0.832 0.168 Hg
0.663 0.168 0.832 Hg
0.831 0.831 0.169 Hg
0.832 0.337 0.663 Hg
0.337 0.337 0.663 Sb
0.663 0.663 0.337 Sb
```

The following is a PBE calculation of an optimized crystal structure of KHgSb, from Alexandria.

Output
Its uncorrected energy is -2.21 eV per atom. The value obtained for the formation energy from raw total energies is -0.37 eV/atom. The density of states at the Fermi level is 0.068 states/eV/atom. Its total magnetization is 0.0 μB per formula unit. The volume comes out at 35.927 Å³ per atom. The density is 5.57 Mg/m³.

POSCAR file:
```
KHgSb
1.0
4.890 0.000 0.000
-2.445 4.235 0.000
0.000 0.000 10.407
K Hg Sb
2 2 2
direct
0.000 0.000 0.000 K
0.000 0.000 0.500 K
0.333 0.667 0.250 Hg
0.667 0.333 0.750 Hg
0.333 0.667 0.750 Sb
0.667 0.333 0.250 Sb
```

The following is a PBE calculation of an optimized crystal structure of KHg8Sb2, from Alexandria.

Output
Its uncorrected energy is -1.05 eV per atom. The value obtained for the formation energy from raw total energies is 0.02 eV/atom. The density of states at the Fermi level is 0.406 states/eV/atom. Its total magnetization is 0.0 μB per formula unit. The volume comes out at 32.906 Å³ per atom. The density is 8.66 Mg/m³.

POSCAR file:
```
KHg8Sb2
1.0
8.506 -3.027 0.000
8.506 3.027 0.000
-1.167 0.000 7.029
K Hg Sb
1 8 2
direct
0.000 0.000 0.000 K
0.161 0.664 0.394 Hg
0.293 0.293 0.653 Hg
0.310 0.310 0.056 Hg
0.336 0.839 0.606 Hg
0.664 0.161 0.394 Hg
0.690 0.690 0.944 Hg
0.707 0.707 0.347 Hg
0.839 0.336 0.606 Hg
0.185 0.185 0.293 Sb
0.815 0.815 0.707 Sb
```

The following is a PBE calculation of an optimized crystal structure of KHg2Sb, from Alexandria.

Output
Its uncorrected energy is -1.58 eV per atom. The value obtained for the formation energy from raw total energies is -0.13 eV/atom. The density of states at the Fermi level is 0.355 states/eV/atom. Its total magnetization is 0.0 μB per formula unit. The volume comes out at 30.111 Å³ per atom. The density is 7.75 Mg/m³.

POSCAR file:
```
KHg2Sb
1.0
5.341 -1.703 0.000
5.341 1.703 0.000
-0.654 0.000 6.619
K Hg Sb
1 2 1
direct
0.000 0.000 0.000 K
0.252 0.252 0.724 Hg
0.748 0.748 0.276 Hg
0.500 0.500 0.500 Sb
```